# 1
# ZnIn2W PBE relaxed
# - ΔH_f (0 K): 2.37 eV per formula unit
# - Total energy: -4.3334 eV/atom
# - Crystal system: tetragonal
data_ZnIn2W
_chemical_formula_sum 'Zn1 In2 W1'
_cell_length_a 4.269
_cell_length_b 4.269
_cell_length_c 4.112
_cell_angle_alpha 90.00
_cell_angle_beta 90.00
_cell_angle_gamma 90.00
_space_group_name_H-M_alt 'P 1'
_space_group_IT_number 1
loop_
_space_group_symop_operation_xyz
'x,y,z'
loop_
_atom_site_label
_atom_site_type_symbol
_atom_site_fract_x
_atom_site_fract_y
_atom_site_fract_z
Zn1 Zn 0.000 0.000 0.000
In1 In 0.000 0.500 0.500
In2 In 0.500 0.000 0.500
W1 W 0.500 0.500 0.000

***

# 2
# LaTbDyCu PBE relaxed
# - ΔH_f (0 K): -0.37 eV per formula unit
# - Total energy: -4.6562 eV/atom
# - Crystal system: tetragonal
data_LaTbDyCu
_chemical_formula_sum 'La1 Tb1 Dy1 Cu1'
_cell_length_a 3.548
_cell_length_b 3.548
_cell_length_c 8.807
_cell_angle_alpha 90.00
_cell_angle_beta 90.00
_cell_angle_gamma 90.00
_space_group_name_H-M_alt 'P 1'
_space_group_IT_number 1
loop_
_space_group_symop_operation_xyz
'x,y,z'
loop_
_atom_site_label
_atom_site_type_symbol
_atom_site_fract_x
_atom_site_fract_y
_atom_site_fract_z
La1 La 0.000 0.000 0.000
Tb1 Tb 0.500 0.500 0.688
Dy1 Dy 0.500 0.500 0.311
Cu1 Cu 0.000 0.000 0.497